Computed, not measured: an optimized crystal structure of Th6In2Ir at the PBE-GGA level of DFT.

Lattice parameters (Å, degrees): 6.3107 8.3190 12.1448 90.00 120.16 90.00
Sites, in units of the cell vectors:
Th 0.0651 0.1872 0.4557
Th 0.0651 0.3128 0.9557
Th 0.3307 0.6679 0.4557
Th 0.3307 0.8321 0.9557
Th 0.3688 0.0269 0.2438
Th 0.3688 0.4731 0.7438
Th 0.6312 0.5269 0.2562
Th 0.6312 0.9731 0.7562
Th 0.6693 0.1679 0.0443
Th 0.6693 0.3321 0.5443
Th 0.9349 0.6872 0.0443
Th 0.9349 0.8128 0.5443
In 0.1414 0.1169 0.7467
In 0.1414 0.3831 0.2467
In 0.8586 0.6169 0.7533
In 0.8586 0.8831 0.2533
Ir 0.5000 0.0000 0.5000
Ir 0.5000 0.5000 0.0000

Summary:
ρ = 10.93 g cm⁻³
Energy of formation from the pure elements = -227 meV/atom